VASP calculation (PBE) on a relaxed PrBi2Pb crystal.

Cell: 4.341 4.341 6.783 Å, 90.00 90.00 90.00°
Element x y z (fractional)
Pb (0.500, 0.500, 0.000)
Bi (0.000, 0.000, 0.739)
Bi (0.000, 0.000, 0.261)
Pr (0.500, 0.500, 0.500)

Results
DOS(E_F) in states/eV/f.u.: 3.43
Magnetization in μB/cell: 0.0
Energy above the lowest structure with this stoichiometry in kJ per mole of atoms: 2.23